A plane-wave DFT calculation with meta-GGA SCAN was carried out for Li4CaZn at its PBEsol-relaxed geometry.

Lattice parameters (Å, degrees): 5.514 5.514 5.514 60.00 60.00 60.00
Fractional positions:
1 Li 0.377 0.377 0.377
2 Li 0.377 0.868 0.377
3 Li 0.868 0.377 0.377
4 Li 0.377 0.377 0.868
5 Zn 0.750 0.750 0.750
6 Ca 0.000 0.000 0.000

Values from the calculation:
M_tot: 0.3 μB/f.u.
calculated formation energy: 0.004 eV/atom
final energy: -5.45 eV/atom
space group: No. 216



A plane-wave DFT calculation with meta-GGA SCAN was carried out for Li2Ca2Zn at its PBEsol-relaxed geometry.

Lattice parameters (Å, degrees): 3.743 3.743 9.549 101.30 101.30 90.00
Fractional positions:
1 Ca 0.594 0.594 0.188
2 Ca 0.406 0.406 0.812
3 Li 0.750 0.250 0.500
4 Li 0.250 0.750 0.500
5 Zn 0.000 0.000 0.000

Values from the calculation:
M_tot: 0.3 μB/f.u.
calculated formation energy: -0.037 eV/atom
final energy: -7.56 eV/atom
space group: No. 139



A plane-wave DFT calculation with meta-GGA SCAN was carried out for LiCaZn at its PBEsol-relaxed geometry.

Lattice parameters (Å, degrees): 3.595 3.596 5.675 108.44 108.44 89.99
Fractional positions:
1 Zn 0.687 0.687 0.374
2 Ca 0.009 0.009 0.019
3 Li 0.304 0.304 0.607

Values from the calculation:
ΔE to the lowest computed polymorph: 0.000 eV/atom
M_tot: 0.0 μB/f.u.
calculated formation energy: -0.141 eV/atom
final energy: -8.66 eV/atom
space group: No. 107



A plane-wave DFT calculation with meta-GGA SCAN was carried out for LiCaZn2 at its PBEsol-relaxed geometry.

Lattice parameters (Å, degrees): 3.399 3.399 6.670 90.00 90.00 90.00
Fractional positions:
1 Li 0.500 0.500 0.000
2 Zn 0.000 0.000 0.196
3 Zn 0.000 0.000 0.804
4 Ca 0.500 0.500 0.500

Values from the calculation:
ΔE to the lowest computed polymorph: 0.061 eV/atom
M_tot: 0.0 μB/f.u.
calculated formation energy: -0.190 eV/atom
final energy: -9.96 eV/atom
space group: No. 123